Record 1
Compound: H2SeS
Source: Alexandria via LeMat-Bulk
Functional: PBE
Structure: relaxed

a b c (Å): 2.948 2.948 7.910
angles (deg): 79.26 79.26 60.00
Sites, in units of the cell vectors:
H  0.142  0.142  0.574
H  0.858  0.858  0.426
S  0.500  0.500  0.500
Se  0.000  0.000  0.000

DOS at the Fermi energy = 0.55 states/eV/atom
excess energy over the best structure of this formula in the dataset = 2.68 eV/f.u.

Record 2
Compound: SrCuIO2
Source: Alexandria via LeMat-Bulk
Functional: PBE
Structure: relaxed

a b c (Å): 4.482 4.482 7.068
angles (deg): 90.00 90.00 90.00
Sites, in units of the cell vectors:
I  0.000  0.000  0.500
Sr  0.000  0.000  0.000
O  0.000  0.500  0.000
O  0.500  0.000  0.000
Cu  0.500  0.500  0.500

DOS at the Fermi energy = 0.38 states/eV/atom
excess energy over the best structure of this formula in the dataset = 1.82 eV/f.u.

Record 3
Compound: CuAsPb2S4
Source: Alexandria via LeMat-Bulk
Functional: PBE
Structure: relaxed

a b c (Å): 7.853 7.853 8.030
angles (deg): 120.74 120.74 88.85
Sites, in units of the cell vectors:
Cu  0.000  0.500  0.000
Cu  0.000  0.500  0.500
As  0.500  0.500  0.500
As  0.000  0.000  0.000
Pb  0.500  0.000  0.000
Pb  0.500  0.000  0.500
Pb  0.000  0.000  0.500
Pb  0.500  0.500  0.000
S  0.210  0.737  0.974
S  0.763  0.290  0.526
S  0.237  0.710  0.474
S  0.790  0.263  0.026
S  0.773  0.727  0.974
S  0.773  0.727  0.526
S  0.227  0.273  0.474
S  0.227  0.273  0.026

DOS at the Fermi energy = 0.24 states/eV/atom
E = -68.332 eV per cell